Entry 1:
# PmYCdAu, relaxed, DFT GGA-PBE
data_PmYCdAu
_space_group_name_H-M_alt 'P 4 m m'
_space_group_IT_number 99
_cell_length_a 3.7135
_cell_length_b 3.7135
_cell_length_c 7.4549
_cell_angle_alpha 90.00
_cell_angle_beta 90.00
_cell_angle_gamma 90.00
loop_
_space_group_symop_operation_xyz
'x,y,z'
'-y,x,z'
'-x,-y,z'
'y,-x,z'
'-x,y,z'
'y,x,z'
'x,-y,z'
'-y,-x,z'
loop_
_atom_site_label
_atom_site_type_symbol
_atom_site_fract_x
_atom_site_fract_y
_atom_site_fract_z
Pm1 Pm 0.0000 0.0000 0.0000
Y1 Y 0.0000 0.0000 0.4738
Cd1 Cd 0.5000 0.5000 0.7284
Au1 Au 0.5000 0.5000 0.2522
# Energy of formation (eV per atom): -0.57
# Crystal system: tetragonal
# Energy above the lowest structure with this stoichiometry (eV per formula unit): 0.00

Entry 2:
# PmZnCdAu2, relaxed, DFT GGA-PBE
data_PmZnCdAu2
_space_group_name_H-M_alt 'C m m e'
_space_group_IT_number 67
_space_group_name_Hall '-C 2a 2'
_cell_length_a 5.6520
_cell_length_b 13.9930
_cell_length_c 5.6825
_cell_angle_alpha 90.00
_cell_angle_beta 90.00
_cell_angle_gamma 90.00
loop_
_atom_site_label
_atom_site_type_symbol
_atom_site_fract_x
_atom_site_fract_y
_atom_site_fract_z
Pm1 Pm 0.0000 0.2500 0.2493
Zn1 Zn 0.0000 0.0000 0.0000
Cd1 Cd 0.2500 0.0000 0.5000
Au1 Au 0.0000 0.1510 0.7507
# Energy of formation (eV per atom): -0.43
# Crystal system: orthorhombic

Entry 3:
# PmZnCdAu, relaxed, DFT GGA-PBE
data_PmZnCdAu
_space_group_name_H-M_alt 'F -4 3 m'
_space_group_IT_number 216
_space_group_name_Hall 'F -4 2 3'
_cell_length_a 7.0072
_cell_length_b 7.0072
_cell_length_c 7.0072
_cell_angle_alpha 90.00
_cell_angle_beta 90.00
_cell_angle_gamma 90.00
loop_
_atom_site_label
_atom_site_type_symbol
_atom_site_fract_x
_atom_site_fract_y
_atom_site_fract_z
Pm1 Pm 0.0000 0.0000 0.0000
Zn1 Zn 0.2500 0.2500 0.2500
Cd1 Cd 0.0000 0.0000 0.5000
Au1 Au 0.2500 0.2500 0.7500
# Energy of formation (eV per atom): -0.50
# Crystal system: cubic

Entry 4:
# Pm2Zn3CdAu4, relaxed, DFT GGA-PBE
data_Pm2Zn3CdAu4
_space_group_name_H-M_alt 'P -4 m 2'
_space_group_IT_number 115
_cell_length_a 4.2164
_cell_length_b 4.2164
_cell_length_c 11.8907
_cell_angle_alpha 90.00
_cell_angle_beta 90.00
_cell_angle_gamma 90.00
loop_
_space_group_symop_operation_xyz
'x,y,z'
'y,-x,-z'
'-x,-y,z'
'-y,x,-z'
'-x,y,z'
'-y,-x,-z'
'x,-y,z'
'y,x,-z'
loop_
_atom_site_label
_atom_site_type_symbol
_atom_site_fract_x
_atom_site_fract_y
_atom_site_fract_z
Pm1 Pm 0.0000 0.5000 0.2388
Zn1 Zn 0.0000 0.5000 0.8679
Zn2 Zn 0.5000 0.5000 0.5000
Cd1 Cd 0.0000 0.0000 0.5000
Au1 Au 0.0000 0.0000 0.0000
Au2 Au 0.0000 0.5000 0.6554
Au3 Au 0.5000 0.5000 0.0000
# Energy of formation (eV per atom): -0.49
# Crystal system: tetragonal

Entry 5:
# PmZn2Cd2Au2, relaxed, DFT GGA-PBE
data_PmZn2Cd2Au2
_space_group_name_H-M_alt 'R -3 m'
_space_group_IT_number 166
_space_group_name_Hall '-R 3 2"'
_cell_length_a 4.5947
_cell_length_b 4.5947
_cell_length_c 24.3095
_cell_angle_alpha 90.00
_cell_angle_beta 90.00
_cell_angle_gamma 120.00
loop_
_atom_site_label
_atom_site_type_symbol
_atom_site_fract_x
_atom_site_fract_y
_atom_site_fract_z
Pm1 Pm 0.0000 0.0000 0.0000
Zn1 Zn 0.0000 0.0000 0.4059
Cd1 Cd 0.0000 0.0000 0.1357
Au1 Au 0.0000 0.0000 0.2585
# Energy of formation (eV per atom): -0.40
# Crystal system: trigonal

Entry 6:
# Pm3Zn2Cd2Au4, relaxed, DFT GGA-PBE
data_Pm3Zn2Cd2Au4
_space_group_name_H-M_alt 'P -3 m 1'
_space_group_IT_number 164
_space_group_name_Hall '-P 3 2"'
_cell_length_a 4.6612
_cell_length_b 4.6612
_cell_length_c 13.7526
_cell_angle_alpha 90.00
_cell_angle_beta 90.00
_cell_angle_gamma 120.00
loop_
_atom_site_label
_atom_site_type_symbol
_atom_site_fract_x
_atom_site_fract_y
_atom_site_fract_z
Pm1 Pm 0.0000 0.0000 0.0000
Pm2 Pm 0.0000 0.0000 0.2605
Zn1 Zn 0.3333 0.6667 0.1363
Cd1 Cd 0.3333 0.6667 0.5666
Au1 Au 0.3333 0.6667 0.3585
Au2 Au 0.3333 0.6667 0.8745
# Energy of formation (eV per atom): -0.56
# Crystal system: trigonal